(1)
# TcSeBr2N

A PBEsol-optimized structure of TcSeBr2N (SCAN, Alexandria). Values from VASP.

As for the total DFT energy (no corrections): -19.308 eV/atom. As for the magnetic moment: 4.570 μB per formula unit. The space group is No. 123. The uncorrected formation energy comes out at 1361 meV per atom.

Structure (Quantum ESPRESSO input):
```
&SYSTEM
  ibrav = 0, nat = 5, ntyp = 4
/
ATOMIC_SPECIES
Se 78.96 Se.upf
Tc 98.00 Tc.upf
Br 79.90 Br.upf
N 14.01 N.upf
CELL_PARAMETERS angstrom
4.349 0.000 0.000
0.000 4.349 0.000
0.000 0.000 4.936
ATOMIC_POSITIONS crystal
Se 0.000 0.000 0.500
Tc 0.500 0.500 0.500
Br 0.000 0.500 0.000
Br 0.500 0.000 0.000
N 0.000 0.000 0.000
```

---

(2)
# GeTe2P

A PBEsol-optimized structure of GeTe2P (SCAN, Alexandria). Values from VASP.

As for the total DFT energy (no corrections): -25.588 eV/atom. As for the magnetic moment: 0.000 μB per formula unit. The space group is No. 122. The uncorrected formation energy comes out at 409 meV per atom.

Structure (Quantum ESPRESSO input):
```
&SYSTEM
  ibrav = 0, nat = 8, ntyp = 3
/
ATOMIC_SPECIES
P 30.97 P.upf
Ge 72.64 Ge.upf
Te 127.60 Te.upf
CELL_PARAMETERS angstrom
-1.629 4.960 1.180
-1.566 -1.665 4.840
8.842 0.037 -0.086
ATOMIC_POSITIONS crystal
P 0.750 0.250 0.500
P 0.500 0.500 0.000
Ge 0.250 0.750 0.500
Ge 0.000 0.000 0.000
Te 0.396 0.875 0.250
Te 0.854 0.375 0.250
Te 0.125 0.146 0.750
Te 0.625 0.604 0.750
```

---

(3)
# ZrMn3

A PBEsol-optimized structure of ZrMn3 (SCAN, Alexandria). Values from VASP.

As for the total DFT energy (no corrections): -21.031 eV/atom. As for the magnetic moment: 3.365 μB per formula unit. As for the formation energy: 7.72 kcal/mol of atoms. The space group is No. 166.

Structure (Quantum ESPRESSO input):
```
&SYSTEM
  ibrav = 0, nat = 4, ntyp = 2
/
ATOMIC_SPECIES
Mn 54.94 Mn.upf
Zr 91.22 Zr.upf
CELL_PARAMETERS angstrom
-1.817 -1.361 -1.357
-0.269 -2.602 0.392
-6.512 0.221 5.925
ATOMIC_POSITIONS crystal
Mn 0.738 0.738 0.786
Mn 0.000 0.000 0.000
Mn 0.262 0.262 0.214
Zr 0.500 0.500 0.500
```

---

(4)
# TlIN2F

A PBEsol-optimized structure of TlIN2F (SCAN, Alexandria). Values from VASP.

As for the total DFT energy (no corrections): -25.366 eV/atom. As for the magnetic moment: 0.000 μB per formula unit. The space group is No. 123. The uncorrected formation energy comes out at 878 meV per atom.

Structure (Quantum ESPRESSO input):
```
&SYSTEM
  ibrav = 0, nat = 5, ntyp = 4
/
ATOMIC_SPECIES
I 126.90 I.upf
Tl 204.38 Tl.upf
N 14.01 N.upf
F 19.00 F.upf
CELL_PARAMETERS angstrom
4.075 0.000 0.000
0.000 4.075 0.000
0.000 0.000 4.850
ATOMIC_POSITIONS crystal
I 0.000 0.000 0.000
Tl 0.500 0.500 0.500
N 0.000 0.500 0.000
N 0.500 0.000 0.000
F 0.000 0.000 0.500
```

---

(5)
# CoCuPt2

A PBEsol-optimized structure of CoCuPt2 (SCAN, Alexandria). Values from VASP.

As for the total DFT energy (no corrections): -43.413 eV/atom. As for the magnetic moment: 2.691 μB per formula unit. As for the formation energy: -4.39 kcal/mol of atoms. The space group is No. 47.

Structure (Quantum ESPRESSO input):
```
&SYSTEM
  ibrav = 0, nat = 4, ntyp = 3
/
ATOMIC_SPECIES
Co 58.93 Co.upf
Pt 195.08 Pt.upf
Cu 63.55 Cu.upf
CELL_PARAMETERS angstrom
2.699 0.000 0.000
0.000 3.586 0.000
0.000 0.000 5.410
ATOMIC_POSITIONS crystal
Co 0.500 0.500 0.000
Pt 0.000 0.000 0.753
Pt 0.000 0.000 0.247
Cu 0.500 0.500 0.500
```

---

(6)
# CuHPt3

A PBEsol-optimized structure of CuHPt3 (SCAN, Alexandria). Values from VASP.

As for the total DFT energy (no corrections): -45.795 eV/atom. As for the magnetic moment: 0.001 μB per formula unit. The space group is No. 221.

Structure (Quantum ESPRESSO input):
```
&SYSTEM
  ibrav = 0, nat = 5, ntyp = 3
/
ATOMIC_SPECIES
H 1.01 H.upf
Pt 195.08 Pt.upf
Cu 63.55 Cu.upf
CELL_PARAMETERS angstrom
3.918 0.000 0.000
0.000 3.918 0.000
0.000 0.000 3.918
ATOMIC_POSITIONS crystal
H 0.000 0.000 0.000
Pt 0.000 0.500 0.000
Pt 0.000 0.000 0.500
Pt 0.500 0.000 0.000
Cu 0.500 0.500 0.500
```

---

(7)
# Rb2InI6O18

A PBEsol-optimized structure of Rb2InI6O18 (SCAN, Alexandria). Values from VASP.

As for the total DFT energy (no corrections): -15.814 eV/atom. As for the magnetic moment: 0.002 μB per formula unit. The space group is No. 148. The uncorrected formation energy comes out at -722 meV per atom.

Structure (Quantum ESPRESSO input):
```
&SYSTEM
  ibrav = 0, nat = 27, ntyp = 4
/
ATOMIC_SPECIES
Rb 85.47 Rb.upf
In 114.82 In.upf
I 126.90 I.upf
O 16.00 O.upf
CELL_PARAMETERS angstrom
7.641 -0.032 -0.044
-1.016 7.572 0.024
-1.010 -1.217 7.476
ATOMIC_POSITIONS crystal
Rb 0.164 0.164 0.664
Rb 0.836 0.836 0.336
In 0.500 0.500 0.000
I 0.116 0.698 0.836
I 0.884 0.302 0.164
I 0.303 0.664 0.385
I 0.697 0.336 0.615
I 0.336 0.116 0.197
I 0.664 0.884 0.803
O 0.275 0.537 0.818
O 0.725 0.463 0.182
O 0.290 0.898 0.904
O 0.710 0.102 0.096
O 0.076 0.695 0.595
O 0.924 0.305 0.405
O 0.305 0.905 0.424
O 0.695 0.095 0.576
O 0.463 0.681 0.225
O 0.537 0.319 0.775
O 0.102 0.596 0.211
O 0.898 0.404 0.789
O 0.095 0.075 0.195
O 0.905 0.925 0.805
O 0.404 0.290 0.398
O 0.596 0.710 0.602
O 0.318 0.275 0.037
O 0.682 0.725 0.963
```

---

(8)
# HfUC2

A PBEsol-optimized structure of HfUC2 (SCAN, Alexandria). Values from VASP.

As for the total DFT energy (no corrections): -47.154 eV/atom. As for the magnetic moment: 0.003 μB per formula unit. As for the formation energy: -12.78 kcal/mol of atoms. The space group is No. 166.

Structure (Quantum ESPRESSO input):
```
&SYSTEM
  ibrav = 0, nat = 4, ntyp = 3
/
ATOMIC_SPECIES
U 238.03 U.upf
C 12.01 C.upf
Hf 178.49 Hf.upf
CELL_PARAMETERS angstrom
-2.299 3.710 4.001
-1.068 1.144 5.710
0.955 3.550 4.641
ATOMIC_POSITIONS crystal
U 0.500 0.500 0.500
C 0.253 0.253 0.253
C 0.747 0.747 0.747
Hf 0.000 0.000 0.000
```

---

(9)
# Tb3Al2Ni6

A PBEsol-optimized structure of Tb3Al2Ni6 (SCAN, Alexandria). Values from VASP.

As for the total DFT energy (no corrections): -23.565 eV/atom. As for the magnetic moment: 0.000 μB per formula unit. As for the formation energy: -13.39 kcal/mol of atoms. The space group is No. 229.

Structure (Quantum ESPRESSO input):
```
&SYSTEM
  ibrav = 0, nat = 22, ntyp = 3
/
ATOMIC_SPECIES
Tb 158.93 Tb.upf
Al 26.98 Al.upf
Ni 58.69 Ni.upf
CELL_PARAMETERS angstrom
-0.329 -6.265 4.323
6.704 3.463 1.053
-5.639 4.735 1.957
ATOMIC_POSITIONS crystal
Tb 0.291 0.291 0.000
Tb 0.709 0.000 0.709
Tb 0.000 0.291 0.291
Tb 0.709 0.709 0.000
Tb 0.291 0.000 0.291
Tb 0.000 0.709 0.709
Al 0.000 0.500 0.000
Al 0.000 0.000 0.500
Al 0.500 0.500 0.500
Al 0.500 0.000 0.000
Ni 0.664 0.336 0.000
Ni 0.336 0.673 0.336
Ni 0.000 0.336 0.664
Ni 0.336 0.336 0.673
Ni 0.664 0.000 0.336
Ni 0.000 0.664 0.336
Ni 0.664 0.664 0.327
Ni 0.664 0.327 0.664
Ni 0.327 0.664 0.664
Ni 0.336 0.664 0.000
Ni 0.336 0.000 0.664
Ni 0.673 0.336 0.336
```

---

(10)
# MgCdPb2

A PBEsol-optimized structure of MgCdPb2 (SCAN, Alexandria). Values from VASP.

As for the total DFT energy (no corrections): -46.772 eV/atom. As for the magnetic moment: 0.000 μB per formula unit. As for the formation energy: -0.80 kcal/mol of atoms. Its distance to the lowest polymorph of the same formula is 21 meV per atom. The space group is No. 166.

Structure (Quantum ESPRESSO input):
```
&SYSTEM
  ibrav = 0, nat = 4, ntyp = 3
/
ATOMIC_SPECIES
Pb 207.20 Pb.upf
Mg 24.30 Mg.upf
Cd 112.41 Cd.upf
CELL_PARAMETERS angstrom
-2.032 2.777 0.680
-0.582 0.977 3.319
7.023 7.112 0.992
ATOMIC_POSITIONS crystal
Pb 0.250 0.250 0.251
Pb 0.750 0.750 0.749
Mg 0.000 0.000 0.000
Cd 0.500 0.500 0.500
```

---

(11)
# Li2MnCoO4

A PBEsol-optimized structure of Li2MnCoO4 (SCAN, Alexandria). Values from VASP.

As for the total DFT energy (no corrections): -10.157 eV/atom. As for the magnetic moment: 6.000 μB per formula unit. Its distance to the lowest polymorph of the same formula is 40 meV per atom. The space group is No. 13. The uncorrected formation energy comes out at -1999 meV per atom.

Structure (Quantum ESPRESSO input):
```
&SYSTEM
  ibrav = 0, nat = 16, ntyp = 4
/
ATOMIC_SPECIES
Li 6.94 Li.upf
Mn 54.94 Mn.upf
Co 58.93 Co.upf
O 16.00 O.upf
CELL_PARAMETERS angstrom
4.874 0.010 0.000
-1.622 4.803 0.000
0.000 0.000 5.734
ATOMIC_POSITIONS crystal
Li 0.250 0.000 0.619
Li 0.750 0.000 0.381
Li 0.250 0.000 0.125
Li 0.750 0.000 0.875
Mn 0.750 0.500 0.128
Mn 0.250 0.500 0.872
Co 0.250 0.500 0.395
Co 0.750 0.500 0.605
O 0.011 0.257 0.646
O 0.511 0.257 0.354
O 0.489 0.743 0.646
O 0.989 0.743 0.354
O 0.001 0.281 0.114
O 0.501 0.281 0.886
O 0.499 0.719 0.114
O 0.999 0.719 0.886
```

---

(12)
# La2PPb

A PBEsol-optimized structure of La2PPb (SCAN, Alexandria). Values from VASP.

As for the total DFT energy (no corrections): -43.958 eV/atom. As for the magnetic moment: 0.000 μB per formula unit. As for the formation energy: -19.85 kcal/mol of atoms. Its distance to the lowest polymorph of the same formula is 408 meV per atom. The space group is No. 225.

Structure (Quantum ESPRESSO input):
```
&SYSTEM
  ibrav = 0, nat = 4, ntyp = 3
/
ATOMIC_SPECIES
La 138.91 La.upf
P 30.97 P.upf
Pb 207.20 Pb.upf
CELL_PARAMETERS angstrom
-4.453 2.899 0.662
-4.028 -0.443 -3.500
-4.562 -2.395 1.457
ATOMIC_POSITIONS crystal
La 0.250 0.250 0.250
La 0.750 0.750 0.750
P 0.000 0.000 0.000
Pb 0.500 0.500 0.500
```

---

Table of theoretical density (g/cm3), in record order: 6.2 5.2 8.1 7.8 16.3 17.9 5.1 13.7 8.6 8.7 4.7 7.9
Table of D(E_F) (states/eV/cell), in record order: 2.191 3.244 3.909 1.340 2.423 3.772 13.599 2.417 11.778 1.447 0.729 5.391